1.
First-principles (meta-GGA SCAN) data for Ca2BRhCl at its PBEsol-relaxed geometry, as listed in the Alexandria database.

Its mass density is 3.33 g/cm3. The value obtained for the formation energy without anion corrections is -0.733 eV/atom. For the magnetization, the calculation gives 0.00 μB per formula unit. Its calculated total energy is -14.4346 eV per atom.

```
data_Ca2BRhCl
_chemical_formula_sum 'Ca2 B1 Rh1 Cl1'
_cell_length_a 3.884
_cell_length_b 5.428
_cell_length_c 5.428
_cell_angle_alpha 90.00
_cell_angle_beta 90.00
_cell_angle_gamma 90.00
_space_group_name_H-M_alt 'P 1'
_space_group_IT_number 1
loop_
_space_group_symop_operation_xyz
'x,y,z'
loop_
_atom_site_label
_atom_site_fract_x
_atom_site_fract_y
_atom_site_fract_z
Rh1 0.000 0.000 0.000
Ca1 0.000 0.500 0.000
B1 0.500 0.000 0.000
Cl1 0.500 0.500 0.500
Ca2 0.000 0.000 0.500
```

=====

2.
First-principles (meta-GGA SCAN) data for CaBSCl2 at its PBEsol-relaxed geometry, as listed in the Alexandria database.

Its mass density is 2.94 g/cm3. The value obtained for the formation energy without anion corrections is -0.719 eV/atom. For the magnetization, the calculation gives 0.00 μB per formula unit. Its calculated total energy is -9.2548 eV per atom.

```
data_CaBSCl2
_chemical_formula_sum 'Ca1 B1 S1 Cl2'
_cell_length_a 4.509
_cell_length_b 4.509
_cell_length_c 4.274
_cell_angle_alpha 90.00
_cell_angle_beta 90.00
_cell_angle_gamma 90.00
_space_group_name_H-M_alt 'P 1'
_space_group_IT_number 1
loop_
_space_group_symop_operation_xyz
'x,y,z'
loop_
_atom_site_label
_atom_site_fract_x
_atom_site_fract_y
_atom_site_fract_z
B1 0.000 0.000 0.000
Ca1 0.500 0.500 0.500
Cl1 0.000 0.500 0.000
Cl2 0.500 0.000 0.000
S1 0.000 0.000 0.500
```

=====

3.
First-principles (meta-GGA SCAN) data for CaSiBCl2 at its PBEsol-relaxed geometry, as listed in the Alexandria database.

Its mass density is 1.90 g/cm3. The value obtained for the formation energy without anion corrections is 0.494 eV/atom. For the magnetization, the calculation gives 1.92 μB per formula unit. Its calculated total energy is -8.1193 eV per atom.

```
data_CaSiBCl2
_chemical_formula_sum 'Ca1 Si1 B1 Cl2'
_cell_length_a 4.717
_cell_length_b 4.717
_cell_length_c 5.900
_cell_angle_alpha 90.00
_cell_angle_beta 90.00
_cell_angle_gamma 90.00
_space_group_name_H-M_alt 'P 1'
_space_group_IT_number 1
loop_
_space_group_symop_operation_xyz
'x,y,z'
loop_
_atom_site_label
_atom_site_fract_x
_atom_site_fract_y
_atom_site_fract_z
B1 0.500 0.500 0.500
Ca1 0.000 0.000 0.500
Cl1 0.000 0.500 0.000
Si1 0.000 0.000 0.000
Cl2 0.500 0.000 0.000
```

=====

4.
First-principles (meta-GGA SCAN) data for CaInCoB2 at its PBEsol-relaxed geometry, as listed in the Alexandria database.

Its mass density is 3.51 g/cm3. The value obtained for the formation enthalpy at 0 K is 2444 meV per atom. For the magnetization, the calculation gives 1.97 μB per formula unit. Its calculated total energy is -12.5986 eV per atom.

```
data_CaInCoB2
_chemical_formula_sum 'Ca1 In1 Co1 B2'
_cell_length_a 4.482
_cell_length_b 4.482
_cell_length_c 5.536
_cell_angle_alpha 90.00
_cell_angle_beta 90.00
_cell_angle_gamma 90.00
_space_group_name_H-M_alt 'P 1'
_space_group_IT_number 1
loop_
_space_group_symop_operation_xyz
'x,y,z'
loop_
_atom_site_label
_atom_site_fract_x
_atom_site_fract_y
_atom_site_fract_z
Ca1 0.000 0.000 0.000
In1 0.000 0.000 0.500
Co1 0.500 0.500 0.500
B1 0.000 0.500 0.000
B2 0.500 0.000 0.000
```

=====

5.
First-principles (meta-GGA SCAN) data for CaMgCo2B at its PBEsol-relaxed geometry, as listed in the Alexandria database.

Its mass density is 3.19 g/cm3. The value obtained for the formation enthalpy at 0 K is 1848 meV per atom. For the magnetization, the calculation gives 3.17 μB per formula unit. Its calculated total energy is -9.4869 eV per atom.

```
data_CaMgCo2B
_chemical_formula_sum 'Ca1 Mg1 Co2 B1'
_cell_length_a 4.370
_cell_length_b 4.370
_cell_length_c 5.270
_cell_angle_alpha 90.00
_cell_angle_beta 90.00
_cell_angle_gamma 90.00
_space_group_name_H-M_alt 'P 1'
_space_group_IT_number 1
loop_
_space_group_symop_operation_xyz
'x,y,z'
loop_
_atom_site_label
_atom_site_fract_x
_atom_site_fract_y
_atom_site_fract_z
Co1 0.000 0.500 0.000
B1 0.500 0.500 0.500
Mg1 0.000 0.000 0.000
Ca1 0.000 0.000 0.500
Co2 0.500 0.000 0.000
```

=====

6.
First-principles (meta-GGA SCAN) data for Ca2CoBP at its PBEsol-relaxed geometry, as listed in the Alexandria database.

Its mass density is 2.68 g/cm3. The value obtained for the formation enthalpy at 0 K is 398 meV per atom. For the magnetization, the calculation gives 0.00 μB per formula unit. Its calculated total energy is -10.4940 eV per atom.

```
data_Ca2CoBP
_chemical_formula_sum 'Ca2 Co1 B1 P1'
_cell_length_a 3.999
_cell_length_b 5.298
_cell_length_c 5.298
_cell_angle_alpha 90.00
_cell_angle_beta 90.00
_cell_angle_gamma 90.00
_space_group_name_H-M_alt 'P 1'
_space_group_IT_number 1
loop_
_space_group_symop_operation_xyz
'x,y,z'
loop_
_atom_site_label
_atom_site_fract_x
_atom_site_fract_y
_atom_site_fract_z
Ca1 0.000 0.000 0.500
Ca2 0.000 0.500 0.000
Co1 0.500 0.000 0.000
P1 0.000 0.000 0.000
B1 0.500 0.500 0.500
```

=====

7.
First-principles (meta-GGA SCAN) data for CaCrB2 at its PBEsol-relaxed geometry, as listed in the Alexandria database.

Its mass density is 3.13 g/cm3. The value obtained for the formation enthalpy at 0 K is 441 meV per atom. For the magnetization, the calculation gives 2.31 μB per formula unit. Its calculated total energy is -10.2854 eV per atom.

```
data_CaCrB2
_chemical_formula_sum 'Ca2 Cr2 B4'
_cell_length_a 4.185
_cell_length_b 4.185
_cell_length_c 7.501
_cell_angle_alpha 106.20
_cell_angle_beta 106.20
_cell_angle_gamma 90.00
_space_group_name_H-M_alt 'P 1'
_space_group_IT_number 1
loop_
_space_group_symop_operation_xyz
'x,y,z'
loop_
_atom_site_label
_atom_site_fract_x
_atom_site_fract_y
_atom_site_fract_z
Cr1 0.250 0.750 0.500
Ca1 0.750 0.250 0.500
B1 0.125 0.875 0.250
B2 0.125 0.375 0.250
Cr2 0.000 0.000 0.000
B3 0.625 0.875 0.750
B4 0.125 0.875 0.750
Ca2 0.500 0.500 0.000
```

=====

8.
First-principles (meta-GGA SCAN) data for Ca2CrBPb at its PBEsol-relaxed geometry, as listed in the Alexandria database.

Its mass density is 5.23 g/cm3. The value obtained for the formation enthalpy at 0 K is -112 meV per atom. For the magnetization, the calculation gives 2.86 μB per formula unit. Its calculated total energy is -24.2966 eV per atom.

```
data_Ca2CrBPb
_chemical_formula_sum 'Ca2 Cr1 B1 Pb1'
_cell_length_a 4.055
_cell_length_b 5.236
_cell_length_c 5.236
_cell_angle_alpha 90.00
_cell_angle_beta 90.00
_cell_angle_gamma 90.00
_space_group_name_H-M_alt 'P 1'
_space_group_IT_number 1
loop_
_space_group_symop_operation_xyz
'x,y,z'
loop_
_atom_site_label
_atom_site_fract_x
_atom_site_fract_y
_atom_site_fract_z
Cr1 0.500 0.000 0.000
Ca1 0.000 0.000 0.500
B1 0.000 0.000 0.000
Pb1 0.500 0.500 0.500
Ca2 0.000 0.500 0.000
```

=====

9.
First-principles (meta-GGA SCAN) data for Ca2CrTcB at its PBEsol-relaxed geometry, as listed in the Alexandria database.

Its mass density is 3.22 g/cm3. The value obtained for the formation enthalpy at 0 K is 1399 meV per atom. For the magnetization, the calculation gives 1.92 μB per formula unit. Its calculated total energy is -14.6415 eV per atom.

```
data_Ca2CrTcB
_chemical_formula_sum 'Ca2 Cr1 Tc1 B1'
_cell_length_a 4.274
_cell_length_b 5.394
_cell_length_c 5.394
_cell_angle_alpha 90.00
_cell_angle_beta 90.00
_cell_angle_gamma 90.00
_space_group_name_H-M_alt 'P 1'
_space_group_IT_number 1
loop_
_space_group_symop_operation_xyz
'x,y,z'
loop_
_atom_site_label
_atom_site_fract_x
_atom_site_fract_y
_atom_site_fract_z
Ca1 0.000 0.500 0.000
Tc1 0.000 0.000 0.000
B1 0.500 0.500 0.500
Ca2 0.000 0.000 0.500
Cr1 0.500 0.000 0.000
```

=====

10.
First-principles (meta-GGA SCAN) data for Ca2CrBTe at its PBEsol-relaxed geometry, as listed in the Alexandria database.

Its mass density is 3.65 g/cm3. The value obtained for the formation energy without anion corrections is 0.324 eV/atom. For the magnetization, the calculation gives 5.01 μB per formula unit. Its calculated total energy is -16.1546 eV per atom.

```
data_Ca2CrBTe
_chemical_formula_sum 'Ca2 Cr1 B1 Te1'
_cell_length_a 4.601
_cell_length_b 5.172
_cell_length_c 5.172
_cell_angle_alpha 90.00
_cell_angle_beta 90.00
_cell_angle_gamma 90.00
_space_group_name_H-M_alt 'P 1'
_space_group_IT_number 1
loop_
_space_group_symop_operation_xyz
'x,y,z'
loop_
_atom_site_label
_atom_site_fract_x
_atom_site_fract_y
_atom_site_fract_z
Ca1 0.000 0.500 0.000
Cr1 0.500 0.500 0.500
Te1 0.500 0.000 0.000
B1 0.000 0.000 0.000
Ca2 0.000 0.000 0.500
```

=====

11.
First-principles (meta-GGA SCAN) data for Cs3CaB at its PBEsol-relaxed geometry, as listed in the Alexandria database.

Its mass density is 2.51 g/cm3. The value obtained for the formation enthalpy at 0 K is 882 meV per atom. For the magnetization, the calculation gives 1.36 μB per formula unit. Its calculated total energy is -25.2231 eV per atom.

```
data_Cs3CaB
_chemical_formula_sum 'Cs3 Ca1 B1'
_cell_length_a 6.673
_cell_length_b 6.673
_cell_length_c 6.673
_cell_angle_alpha 90.00
_cell_angle_beta 90.00
_cell_angle_gamma 90.00
_space_group_name_H-M_alt 'P 1'
_space_group_IT_number 1
loop_
_space_group_symop_operation_xyz
'x,y,z'
loop_
_atom_site_label
_atom_site_fract_x
_atom_site_fract_y
_atom_site_fract_z
Cs1 0.500 0.000 0.000
Cs2 0.000 0.000 0.500
B1 0.000 0.000 0.000
Ca1 0.500 0.500 0.500
Cs3 0.000 0.500 0.000
```

=====

12.
First-principles (meta-GGA SCAN) data for Ca3Er3Ge2BO13 at its PBEsol-relaxed geometry, as listed in the Alexandria database.

For the energy above the most stable polymorph in this dataset, the calculation gives 0.10 kcal/mol of atoms. Its mass density is 5.92 g/cm3. The value obtained for the formation energy without anion corrections is -3.179 eV/atom. For the magnetization, the calculation gives 0.00 μB per formula unit. Its calculated total energy is -17.1160 eV per atom.

```
data_Ca3Er3Ge2BO13
_chemical_formula_sum 'Ca3 Er3 Ge2 B1 O13'
_cell_length_a 7.300
_cell_length_b 7.300
_cell_length_c 7.300
_cell_angle_alpha 119.67
_cell_angle_beta 119.67
_cell_angle_gamma 90.52
_space_group_name_H-M_alt 'P 1'
_space_group_IT_number 1
loop_
_space_group_symop_operation_xyz
'x,y,z'
loop_
_atom_site_label
_atom_site_fract_x
_atom_site_fract_y
_atom_site_fract_z
O1 0.854 0.548 0.706
Ca1 0.768 0.232 0.000
O2 0.452 0.146 0.294
O3 0.858 0.153 0.703
O4 0.584 0.432 0.842
Er1 0.223 0.228 0.000
O5 0.158 0.452 0.297
Er2 0.226 0.774 0.000
O6 0.149 0.837 0.295
O7 0.575 0.754 0.158
O8 0.246 0.425 0.842
B1 0.496 0.504 0.000
Ca2 0.230 0.232 0.461
Ge1 0.753 0.247 0.500
O9 0.548 0.842 0.703
Ca3 0.768 0.770 0.539
O10 0.847 0.142 0.297
O11 0.568 0.416 0.158
O12 0.008 0.992 0.000
Ge2 0.254 0.746 0.500
O13 0.163 0.851 0.705
Er3 0.772 0.777 0.000
```